Below is an optimized crystal structure of CsYZn3, with properties calculated at the PBE level.

- Excess energy over the best structure of this formula in the dataset: 0.000 eV/atom
- Space group: No. 221
- ΔH_f (0 K): 0.41 eV/atom

Cell and atoms, written as POSCAR:
```
CsYZn3
1.0
5.823 0.000 0.000
0.000 5.823 0.000
0.000 0.000 5.823
Cs Zn Y
1 3 1
direct
0.500 0.500 0.500
0.000 0.000 0.500
0.500 0.000 0.000
0.000 0.500 0.000
0.000 0.000 0.000
```

---

Below is an optimized crystal structure of ErPu3Tl3Se8, with properties calculated at the PBE level.

- Calculated total energy: -6.7513 eV per atom
- Space group: No. 12

Cell and atoms, written as POSCAR:
```
ErPu3Tl3Se8
1.0
8.371 0.000 0.000
-4.185 7.262 -0.024
0.000 -4.808 7.755
Pu Se Er Tl
3 8 1 3
direct
0.500 0.500 0.500
0.000 0.500 0.500
0.500 0.000 0.500
0.263 0.030 0.298
0.735 0.470 0.703
0.265 0.530 0.297
0.767 0.030 0.298
0.767 0.534 0.300
0.233 0.970 0.702
0.233 0.466 0.700
0.737 0.970 0.702
0.000 0.000 0.500
0.500 0.500 0.000
0.000 0.000 0.000
0.000 0.500 0.000
```